# NaCe2Pm3Se6 | Alexandria | PBE | relaxed
data_NaCe2Pm3Se6
_cell_length_a 18.3633
_cell_length_b 4.1825
_cell_length_c 8.4549
_cell_angle_alpha 90.00
_cell_angle_beta 103.58
_cell_angle_gamma 90.00
_space_group_name_H-M_alt 'C 1 2/m 1'
_space_group_IT_number 12
_space_group_name_Hall '-C 2y'
loop_
_atom_site_label
_atom_site_fract_x
_atom_site_fract_y
_atom_site_fract_z
Na1 0.0000 0.0000 0.0000
Ce1 0.1674 0.5000 0.3363
Pm1 0.0000 0.0000 0.5000
Pm2 0.1653 0.5000 0.8279
Se1 0.0009 0.5000 0.2504
Se2 0.1653 0.0000 0.5834
Se3 0.1664 0.0000 0.0814
# Crystal system ... monoclinic
# Formation energy without anion corrections ... -1.784 eV/atom
# Raw total energy ... -5.81 eV per atom
# V ... 631.2 Å³/cell
# Magnetic moment ... 0.1771 μB/atom